(1)
## SnHg2Pt (GGA-PBE)

Data for a relaxed SnHg2Pt crystal.

a = 7.029 Å, b = 7.029 Å, c = 7.029 Å
α = 90.00°, β = 90.00°, γ = 90.00°
Space group F-43m (No. 216)
One atom of each set of equivalent atoms:
1 Sn 0.000 0.000 0.000 x4
2 Hg 0.000 0.000 0.500 x4
3 Hg 0.250 0.250 0.750 x4
4 Pt 0.250 0.250 0.250 x4

The total energy comes out at -0.188 Ry per atom. The total magnetization is 0.00 μB per atom.

---

(2)
## NbBr2 (GGA-PBE)

Data for a relaxed NbBr2 crystal.

a = 6.336 Å, b = 6.336 Å, c = 4.162 Å
α = 90.00°, β = 90.00°, γ = 90.00°
Space group P4_2/mnm (No. 136)
One atom of each set of equivalent atoms:
1 Nb 0.000 0.000 0.000 x2
2 Br 0.197 0.197 0.500 x4

The total energy comes out at -0.353 Ry per atom. The total magnetization is 0.99 μB per atom.